1.
Density functional theory data (PBE) for a geometry-optimized La2SiAu2 structure.

Calculated values
Final energy ... -4.997 eV/atom
SG ... P4/mbm

abc: 7.863 7.863 4.112
angles: 90.00 90.00 90.00
Fractional positions:
Si: 0.000 0.000 0.000
Si: 0.500 0.500 0.000
Au: 0.373 0.873 0.000
Au: 0.873 0.627 0.000
Au: 0.627 0.127 0.000
Au: 0.127 0.373 0.000
La: 0.178 0.678 0.500
La: 0.678 0.822 0.500
La: 0.822 0.322 0.500
La: 0.322 0.178 0.500

2.
Density functional theory data (PBE) for a geometry-optimized Tl2Hg structure.

Calculated values
SG ... P4/mmm
E_form ... 28 kJ/mol of formula units

abc: 4.828 4.828 4.344
angles: 90.00 90.00 90.00
Fractional positions:
Tl: 0.000 0.500 0.500
Tl: 0.500 0.000 0.500
Hg: 0.000 0.000 0.000